1.
This record from Alexandria describes a relaxed NdInSn crystal. The functional is PBE-GGA.

Geometry as CIF:
```
data_NdInSn
_chemical_formula_sum 'Nd4 In4 Sn4'
_space_group_name_H-M_alt 'C m c m'
_space_group_IT_number 63
_space_group_name_Hall '-C 2c 2'
_cell_length_a 3.525
_cell_length_b 17.085
_cell_length_c 5.928
_cell_angle_alpha 90.00
_cell_angle_beta 90.00
_cell_angle_gamma 90.00
loop_
_atom_site_label
_atom_site_fract_x
_atom_site_fract_y
_atom_site_fract_z
Nd1 0.000 0.169 0.250
In1 0.000 0.356 0.250
Sn1 0.000 0.000 0.000
```

Results
**Crystal system**: orthorhombic
**Polymorph energy (0 for the lowest one)**: 0.261 eV/atom



2.
This record from Alexandria describes a relaxed Nd5In2Sn5 crystal. The functional is PBE-GGA.

Geometry as CIF:
```
data_Nd5In2Sn5
_chemical_formula_sum 'Nd10 In4 Sn10'
_space_group_name_H-M_alt 'C 1 2/m 1'
_space_group_IT_number 12
_space_group_name_Hall '-C 2y'
_cell_length_a 16.516
_cell_length_b 4.671
_cell_length_c 11.730
_cell_angle_alpha 90.00
_cell_angle_beta 129.09
_cell_angle_gamma 90.00
loop_
_atom_site_label
_atom_site_fract_x
_atom_site_fract_y
_atom_site_fract_z
Nd1 0.000 0.000 0.000
Nd2 0.106 0.000 0.423
Nd3 0.199 0.000 0.832
In1 0.138 0.500 0.251
Sn1 0.000 0.500 0.500
Sn2 0.070 0.500 0.848
Sn3 0.239 0.500 0.680
```

Results
**Crystal system**: monoclinic



3.
This record from Alexandria describes a relaxed Nd4InSn2 crystal. The functional is PBE-GGA.

Geometry as CIF:
```
data_Nd4InSn2
_chemical_formula_sum 'Nd8 In2 Sn4'
_space_group_name_H-M_alt 'P 1 21/m 1'
_space_group_IT_number 11
_space_group_name_Hall '-P 2yb'
_cell_length_a 5.916
_cell_length_b 6.703
_cell_length_c 10.960
_cell_angle_alpha 90.00
_cell_angle_beta 100.96
_cell_angle_gamma 90.00
loop_
_atom_site_label
_atom_site_fract_x
_atom_site_fract_y
_atom_site_fract_z
Nd1 0.147 0.250 0.124
Nd2 0.251 0.750 0.450
Nd3 0.319 0.015 0.737
In1 0.108 0.750 0.170
Sn1 0.213 0.250 0.432
Sn2 0.407 0.750 0.999
```

Results
**Crystal system**: monoclinic



Number 1: formation energy -0.2408 eV per atom. Number 2: formation energy -0.6034 eV per atom. Number 3: formation energy -0.5000 eV per atom.